Record 1
Below is an optimized crystal structure of SmH4IrPt2, with properties calculated at the PBE level.

```
data_SmH4IrPt2
_chemical_formula_sum 'Sm2 H8 Ir2 Pt4'
_symmetry_space_group_name_H-M 'C 1 2 1'
_symmetry_Int_Tables_number 5
_cell_length_a 5.8661
_cell_length_b 8.5429
_cell_length_c 4.5299
_cell_angle_alpha 90.00
_cell_angle_beta 128.81
_cell_angle_gamma 90.00
loop_
_symmetry_equiv_pos_as_xyz
'x,y,z'
'-x,y,-z'
'x+1/2,y+1/2,z'
'-x+1/2,y+1/2,-z'
loop_
_atom_site_label
_atom_site_type_symbol
_atom_site_fract_x
_atom_site_fract_y
_atom_site_fract_z
Sm1 Sm 0.0000 0.0000 0.0000
H1 H 0.1811 0.6275 0.3709
H2 H 0.2276 0.2729 0.0110
Ir1 Ir 0.0000 0.7462 0.5000
Pt1 Pt 0.0000 0.2625 0.5000
Pt2 Pt 0.0000 0.4783 0.0000
```

crystal system: monoclinic

Record 2
Below is an optimized crystal structure of Er4NiTe, with properties calculated at the PBE level.

```
data_Er4NiTe
_chemical_formula_sum 'Er16 Ni4 Te4'
_symmetry_space_group_name_H-M 'P n m a'
_symmetry_Int_Tables_number 62
_cell_length_a 8.2114
_cell_length_b 3.8279
_cell_length_c 19.3319
_cell_angle_alpha 90.00
_cell_angle_beta 90.00
_cell_angle_gamma 90.00
loop_
_symmetry_equiv_pos_as_xyz
'x,y,z'
'-x,-y,-z'
'-x+1/2,-y,z+1/2'
'x+1/2,y,-z+1/2'
'x+1/2,-y+1/2,-z+1/2'
'-x+1/2,y+1/2,z+1/2'
'-x,y+1/2,-z'
'x,-y+1/2,z'
loop_
_atom_site_label
_atom_site_type_symbol
_atom_site_fract_x
_atom_site_fract_y
_atom_site_fract_z
Er1 Er 0.0239 0.2500 0.0680
Er2 Er 0.0476 0.7500 0.2165
Er3 Er 0.1337 0.7500 0.6492
Er4 Er 0.1468 0.7500 0.4523
Ni1 Ni 0.2263 0.2500 0.5525
Te1 Te 0.2471 0.2500 0.3151
```

relative energy among the computed polymorphs: 0 meV per atom
crystal system: orthorhombic
formation energy from raw total energies: -3.55 eV per formula unit

Record 3
Below is an optimized crystal structure of Ho3Si2AsPt9, with properties calculated at the PBE level.

```
data_Ho3Si2AsPt9
_chemical_formula_sum 'Ho3 Si2 As1 Pt9'
_symmetry_space_group_name_H-M 'P -3 m 1'
_symmetry_Int_Tables_number 164
_symmetry_space_group_name_Hall '-P 3 2"'
_cell_length_a 6.4525
_cell_length_b 6.4525
_cell_length_c 8.5818
_cell_angle_alpha 90.00
_cell_angle_beta 90.00
_cell_angle_gamma 120.00
loop_
_atom_site_label
_atom_site_type_symbol
_atom_site_fract_x
_atom_site_fract_y
_atom_site_fract_z
Ho1 Ho 0.0000 0.0000 0.0000
Ho2 Ho 0.3333 0.6667 0.7267
Si1 Si 0.3333 0.6667 0.1869
As1 As 0.0000 0.0000 0.5000
Pt1 Pt 0.0000 0.5000 0.0000
Pt2 Pt 0.1436 0.2871 0.2786
```

crystal system: trigonal
formation energy from raw total energies: -10.66 eV per formula unit

Record 4
Below is an optimized crystal structure of Ho4SnPd, with properties calculated at the PBE level.

```
data_Ho4SnPd
_chemical_formula_sum 'Ho16 Sn4 Pd4'
_symmetry_space_group_name_H-M 'C m c 21'
_symmetry_Int_Tables_number 36
_cell_length_a 5.3508
_cell_length_b 20.2459
_cell_length_c 6.4011
_cell_angle_alpha 90.00
_cell_angle_beta 90.00
_cell_angle_gamma 90.00
loop_
_symmetry_equiv_pos_as_xyz
'x,y,z'
'-x,-y,z+1/2'
'-x,y,z'
'x,-y,z+1/2'
'x+1/2,y+1/2,z'
'-x+1/2,-y+1/2,z+1/2'
'-x+1/2,y+1/2,z'
'x+1/2,-y+1/2,z+1/2'
loop_
_atom_site_label
_atom_site_type_symbol
_atom_site_fract_x
_atom_site_fract_y
_atom_site_fract_z
Ho1 Ho 0.0000 0.0525 0.0000
Ho2 Ho 0.0000 0.1998 0.2475
Ho3 Ho 0.0000 0.2001 0.7542
Ho4 Ho 0.0000 0.3895 0.0012
Sn1 Sn 0.0000 0.3461 0.5010
Pd1 Pd 0.0000 0.0820 0.5007
```

crystal system: orthorhombic
formation enthalpy at 0 K: -0.426 eV/atom

Record 5
Below is an optimized crystal structure of Li2CeScAu4, with properties calculated at the PBE level.

```
data_Li2CeScAu4
_chemical_formula_sum 'Li6 Ce3 Sc3 Au12'
_symmetry_space_group_name_H-M 'R -3 m'
_symmetry_Int_Tables_number 166
_symmetry_space_group_name_Hall '-R 3 2"'
_cell_length_a 4.6149
_cell_length_b 4.6149
_cell_length_c 25.8726
_cell_angle_alpha 90.00
_cell_angle_beta 90.00
_cell_angle_gamma 120.00
loop_
_atom_site_label
_atom_site_type_symbol
_atom_site_fract_x
_atom_site_fract_y
_atom_site_fract_z
Li1 Li 0.0000 0.0000 0.2403
Ce1 Ce 0.0000 0.0000 0.0000
Sc1 Sc 0.0000 0.0000 0.5000
Au1 Au 0.0000 0.0000 0.1229
Au2 Au 0.0000 0.0000 0.3923
```

crystal system: trigonal
formation enthalpy at 0 K: -0.639 eV/atom

Record 6
Below is an optimized crystal structure of CsSiI3, with properties calculated at the PBE level.

```
data_CsSiI3
_chemical_formula_sum 'Cs3 Si3 I9'
_symmetry_space_group_name_H-M 'R 3 m'
_symmetry_Int_Tables_number 160
_symmetry_space_group_name_Hall 'R 3 -2"'
_cell_length_a 8.4118
_cell_length_b 8.4118
_cell_length_c 10.9093
_cell_angle_alpha 90.00
_cell_angle_beta 90.00
_cell_angle_gamma 120.00
loop_
_atom_site_label
_atom_site_type_symbol
_atom_site_fract_x
_atom_site_fract_y
_atom_site_fract_z
Cs1 Cs 0.0000 0.0000 0.0000
Si1 Si 0.0000 0.0000 0.5368
I1 I 0.1730 0.3460 0.3241
```

crystal system: trigonal
formation energy from raw total energies: -3.50 eV per formula unit

Record 7
Below is an optimized crystal structure of FeCuPd, with properties calculated at the PBE level.

```
data_FeCuPd
_chemical_formula_sum 'Fe2 Cu2 Pd2'
_symmetry_space_group_name_H-M 'I 4 m m'
_symmetry_Int_Tables_number 107
_symmetry_space_group_name_Hall 'I 4 -2'
_cell_length_a 2.7162
_cell_length_b 2.7162
_cell_length_c 10.7888
_cell_angle_alpha 90.00
_cell_angle_beta 90.00
_cell_angle_gamma 90.00
loop_
_atom_site_label
_atom_site_type_symbol
_atom_site_fract_x
_atom_site_fract_y
_atom_site_fract_z
Fe1 Fe 0.0000 0.0000 0.0000
Cu1 Cu 0.0000 0.0000 0.3431
Pd1 Pd 0.0000 0.0000 0.6701
```

relative energy among the computed polymorphs: 28 meV per atom
crystal system: tetragonal
formation enthalpy at 0 K: 0.013 eV/atom

Record 8
Below is an optimized crystal structure of CdSiP2, with properties calculated at the PBE level.

```
data_CdSiP2
_chemical_formula_sum 'Cd2 Si2 P4'
_symmetry_space_group_name_H-M 'C m m 2'
_symmetry_Int_Tables_number 35
_cell_length_a 3.0640
_cell_length_b 5.1429
_cell_length_c 9.2517
_cell_angle_alpha 90.00
_cell_angle_beta 90.00
_cell_angle_gamma 90.00
loop_
_symmetry_equiv_pos_as_xyz
'x,y,z'
'-x,-y,z'
'-x,y,z'
'x,-y,z'
'x+1/2,y+1/2,z'
'-x+1/2,-y+1/2,z'
'-x+1/2,y+1/2,z'
'x+1/2,-y+1/2,z'
loop_
_atom_site_label
_atom_site_type_symbol
_atom_site_fract_x
_atom_site_fract_y
_atom_site_fract_z
Cd1 Cd 0.0000 0.0000 0.0000
Si1 Si 0.0000 0.5000 0.7104
P1 P 0.0000 0.0000 0.4933
P2 P 0.0000 0.5000 0.3177
```

relative energy among the computed polymorphs: 735 meV per atom
crystal system: orthorhombic
formation energy from raw total energies: 2.14 eV per formula unit

Record 9
Below is an optimized crystal structure of NbZnNi, with properties calculated at the PBE level.

```
data_NbZnNi
_chemical_formula_sum 'Nb2 Zn2 Ni2'
_symmetry_space_group_name_H-M 'I 4 m m'
_symmetry_Int_Tables_number 107
_symmetry_space_group_name_Hall 'I 4 -2'
_cell_length_a 2.7853
_cell_length_b 2.7853
_cell_length_c 11.0658
_cell_angle_alpha 90.00
_cell_angle_beta 90.00
_cell_angle_gamma 90.00
loop_
_atom_site_label
_atom_site_type_symbol
_atom_site_fract_x
_atom_site_fract_y
_atom_site_fract_z
Nb1 Nb 0.0000 0.0000 0.0000
Zn1 Zn 0.0000 0.0000 0.6896
Ni1 Ni 0.0000 0.0000 0.3330
```

crystal system: tetragonal
formation enthalpy at 0 K: -0.142 eV/atom

Record 10
Below is an optimized crystal structure of PuCo2SiN, with properties calculated at the PBE level.

```
data_PuCo2SiN
_chemical_formula_sum 'Pu4 Co8 Si4 N4'
_symmetry_space_group_name_H-M 'C m c m'
_symmetry_Int_Tables_number 63
_symmetry_space_group_name_Hall '-C 2c 2'
_cell_length_a 3.5279
_cell_length_b 10.8893
_cell_length_c 6.6890
_cell_angle_alpha 90.00
_cell_angle_beta 90.00
_cell_angle_gamma 90.00
loop_
_atom_site_label
_atom_site_type_symbol
_atom_site_fract_x
_atom_site_fract_y
_atom_site_fract_z
Pu1 Pu 0.0000 0.0412 0.2500
Co1 Co 0.0000 0.3318 0.0543
Si1 Si 0.0000 0.2304 0.7500
N1 N 0.0000 0.5000 0.0000
```

crystal system: orthorhombic
formation energy from raw total energies: -3.58 eV per formula unit

Record 11
Below is an optimized crystal structure of CdIn2Co2, with properties calculated at the PBE level.

```
data_CdIn2Co2
_chemical_formula_sum 'Cd2 In4 Co4'
_symmetry_space_group_name_H-M 'P 4/m b m'
_symmetry_Int_Tables_number 127
_symmetry_space_group_name_Hall '-P 4 2ab'
_cell_length_a 7.5852
_cell_length_b 7.5852
_cell_length_c 2.9679
_cell_angle_alpha 90.00
_cell_angle_beta 90.00
_cell_angle_gamma 90.00
loop_
_atom_site_label
_atom_site_type_symbol
_atom_site_fract_x
_atom_site_fract_y
_atom_site_fract_z
Cd1 Cd 0.0000 0.0000 0.0000
In1 In 0.1415 0.3585 0.0000
Co1 Co 0.1551 0.6551 0.5000
```

relative energy among the computed polymorphs: 103 meV per atom
crystal system: tetragonal
formation enthalpy at 0 K: 0.255 eV/atom

Record 12
Below is an optimized crystal structure of NaGaCo3, with properties calculated at the PBE level.

```
data_NaGaCo3
_chemical_formula_sum 'Na1 Ga1 Co3'
_symmetry_space_group_name_H-M 'P m -3 m'
_symmetry_Int_Tables_number 221
_symmetry_space_group_name_Hall '-P 4 2 3'
_cell_length_a 4.4857
_cell_length_b 4.4857
_cell_length_c 4.4857
_cell_angle_alpha 90.00
_cell_angle_beta 90.00
_cell_angle_gamma 90.00
loop_
_atom_site_label
_atom_site_type_symbol
_atom_site_fract_x
_atom_site_fract_y
_atom_site_fract_z
Na1 Na 0.0000 0.0000 0.0000
Ga1 Ga 0.5000 0.5000 0.5000
Co1 Co 0.0000 0.5000 0.5000
```

relative energy among the computed polymorphs: 0 meV per atom
crystal system: cubic
formation enthalpy at 0 K: 0.938 eV/atom

Across the entries above, E_tot takes the values -5.1878; -5.1215; -6.2836; -5.0105; -4.2895; -2.8863; -5.9043; -3.7543; -5.8499; -9.1747; -3.8659; -4.1942 eV per atom, respectively.